# GdTiIrRh PBE optimized geometry
# calculated formation energy	-621	meV per atom
data_GdTiIrRh
_space_group_name_H-M_alt 'P 1'
_space_group_IT_number 1
_cell_length_a 4.652
_cell_length_b 4.652
_cell_length_c 4.652
_cell_angle_alpha 60.00
_cell_angle_beta 60.00
_cell_angle_gamma 60.00
loop_
_space_group_symop_operation_xyz
'x,y,z'
loop_
_atom_site_label
_atom_site_type_symbol
_atom_site_fract_x
_atom_site_fract_y
_atom_site_fract_z
Rh1 Rh 0.250 0.250 0.250
Gd1 Gd 0.000 0.000 0.000
Ti1 Ti 0.500 0.500 0.500
Ir1 Ir 0.750 0.750 0.750